NdAl4Zn2 PBE optimized geometry; density of states at the Fermi level = 2.30 states/eV per cell; energy relative to the elements = -0.25 eV/atom; final energy = -3.4307 eV/atom; SG = No. 65; total moment = 0.000 μB/atom
1.0
2.1174 -7.3261 0.0000
2.1174 7.3261 0.0000
0.0000 0.0000 4.2130
Nd Al Zn
1 4 2
Cartesian
0.0000 0.0000 0.0000
2.1174 4.6241 2.1065
2.1174 2.7279 0.0000
2.1174 -2.7279 0.0000
2.1174 -4.6241 2.1065
2.1174 1.2226 2.1065
2.1174 -1.2226 2.1065